1.
Computed, not measured: a geometry-optimized RbHg2AsS4 structure at the PBE-GGA level of DFT.

a = 7.048 Å, b = 7.048 Å, c = 6.702 Å
α = 116.06°, β = 116.06°, γ = 99.47°
Positions (direct):
Rb  0.032  0.032  0.065
Hg  0.741  0.241  0.481
Hg  0.241  0.741  0.481
As  0.484  0.484  0.968
S  0.541  0.541  0.690
S  0.462  0.851  0.312
S  0.851  0.462  0.312
S  0.149  0.149  0.690

## Properties
**E_tot**: -24.64 eV/cell
**Space-group type**: Fmm2
**Total magnetization**: 0.00 μB/cell


2.
Computed, not measured: a geometry-optimized RbPr2Te4 structure at the PBE-GGA level of DFT.

a = 4.630 Å, b = 4.630 Å, c = 15.708 Å
α = 81.52°, β = 81.52°, γ = 60.00°
Positions (direct):
Rb  0.500  0.500  0.500
Pr  0.596  0.596  0.211
Pr  0.404  0.404  0.789
Te  0.701  0.701  0.898
Te  0.890  0.890  0.331
Te  0.299  0.299  0.102
Te  0.110  0.110  0.669

## Properties
**E_tot**: -31.33 eV/cell
**Space-group type**: R-3m
**Total magnetization**: 0.00 μB/cell


3.
Computed, not measured: a geometry-optimized TcN structure at the PBE-GGA level of DFT.

a = 3.264 Å, b = 4.718 Å, c = 9.857 Å
α = 90.00°, β = 90.00°, γ = 90.00°
Positions (direct):
Tc  0.000  0.978  0.854
Tc  0.500  0.022  0.646
Tc  0.500  0.022  0.354
Tc  0.000  0.978  0.146
Tc  0.000  0.544  0.500
Tc  0.500  0.456  0.000
N  0.000  0.772  0.665
N  0.500  0.228  0.835
N  0.500  0.228  0.165
N  0.000  0.772  0.335
N  0.000  0.684  0.000
N  0.500  0.316  0.500

## Properties
**Space-group type**: Pmmn
**Total magnetization**: 0.00 μB/cell
**Relative energy among the computed polymorphs**: 76 meV/atom


> total magnetization of number 2 (RbPr2Te4)?

0.00 μB/cell